[1]
! Re2RhBr (GGA-PBE, relaxed); values from VASP
&SYSTEM
  ibrav = 0, nat = 4, ntyp = 3
/
ATOMIC_SPECIES
Re 186.21 Re.upf
Rh 102.91 Rh.upf
Br 79.90 Br.upf
CELL_PARAMETERS angstrom
2.8562 0.0000 0.0000
0.0000 4.6124 0.0000
0.0000 0.0000 4.8403
ATOMIC_POSITIONS crystal
Re 0.0000 0.0000 0.0000
Re 0.5000 0.5000 0.0000
Rh 0.0000 0.5000 0.5000
Br 0.5000 0.0000 0.5000
! Distance to the lowest polymorph of the same formula   617 meV/atom
! Total energy   -7.443 eV/atom
! Space group   Pmmm
! Total magnetization   0.0 μB/cell
! Calculated volume   15.942 Å³ per atom

***

[2]
! Re2RhBr (GGA-PBE, relaxed); values from VASP
&SYSTEM
  ibrav = 0, nat = 4, ntyp = 3
/
ATOMIC_SPECIES
Re 186.21 Re.upf
Rh 102.91 Rh.upf
Br 79.90 Br.upf
CELL_PARAMETERS angstrom
4.5216 -1.4448 0.0000
4.5216 1.4448 0.0000
-3.9951 0.0000 6.4659
ATOMIC_POSITIONS crystal
Re 0.2200 0.2200 0.3495
Re 0.7800 0.7800 0.6505
Rh 0.0000 0.0000 0.5000
Br 0.5000 0.5000 0.0000
! Distance to the lowest polymorph of the same formula   359 meV/atom
! Total energy   -7.700 eV/atom
! Space group   C2/m
! Total magnetization   0.0 μB/cell
! Calculated volume   21.120 Å³ per atom

***

[3]
! Re2RhBr (GGA-PBE, relaxed); values from VASP
&SYSTEM
  ibrav = 0, nat = 4, ntyp = 3
/
ATOMIC_SPECIES
Re 186.21 Re.upf
Rh 102.91 Rh.upf
Br 79.90 Br.upf
CELL_PARAMETERS angstrom
3.1394 0.0000 0.0000
0.0000 2.9659 0.0000
-0.0427 0.0000 7.5768
ATOMIC_POSITIONS crystal
Re 0.0000 0.0000 0.0000
Re 0.4967 0.5000 0.8096
Rh 0.9953 0.0000 0.5895
Br 0.0062 0.5000 0.2889
! Distance to the lowest polymorph of the same formula   0 meV/atom
! Total energy   -8.060 eV/atom
! Space group   Pm
! Total magnetization   0.0 μB/cell
! Calculated volume   17.637 Å³ per atom

***

[4]
! Re2RhBr (GGA-PBE, relaxed); values from VASP
&SYSTEM
  ibrav = 0, nat = 4, ntyp = 3
/
ATOMIC_SPECIES
Re 186.21 Re.upf
Rh 102.91 Rh.upf
Br 79.90 Br.upf
CELL_PARAMETERS angstrom
4.8069 -1.4467 0.0000
4.8069 1.4467 0.0000
-0.3053 0.0000 4.6208
ATOMIC_POSITIONS crystal
Re 0.0000 0.0000 0.0000
Re 0.7129 0.7129 0.2247
Rh 0.2662 0.2662 0.7702
Br 0.4917 0.4917 0.5330
! Distance to the lowest polymorph of the same formula   422 meV/atom
! Total energy   -7.638 eV/atom
! Space group   Cm
! Total magnetization   0.0 μB/cell
! Calculated volume   16.067 Å³ per atom

***

[5]
! Re2RhBr (GGA-PBE, relaxed); values from VASP
&SYSTEM
  ibrav = 0, nat = 4, ntyp = 3
/
ATOMIC_SPECIES
Re 186.21 Re.upf
Rh 102.91 Rh.upf
Br 79.90 Br.upf
CELL_PARAMETERS angstrom
-1.4527 2.3296 4.6073
1.4527 -2.3296 4.6073
1.4527 2.3296 -4.6073
ATOMIC_POSITIONS crystal
Re 0.0000 0.0000 0.0000
Re 0.7578 0.2578 0.5000
Rh 0.4854 0.4854 0.0000
Br 0.2364 0.7364 0.5000
! Distance to the lowest polymorph of the same formula   516 meV/atom
! Total energy   -7.544 eV/atom
! Space group   Imm2
! Total magnetization   0.0 μB/cell
! Calculated volume   15.592 Å³ per atom

***

[6]
! Re2RhBr (GGA-PBE, relaxed); values from VASP
&SYSTEM
  ibrav = 0, nat = 4, ntyp = 3
/
ATOMIC_SPECIES
Re 186.21 Re.upf
Rh 102.91 Rh.upf
Br 79.90 Br.upf
CELL_PARAMETERS angstrom
0.0000 3.1304 3.1304
3.1304 0.0000 3.1304
3.1304 3.1304 0.0000
ATOMIC_POSITIONS crystal
Re 0.2500 0.2500 0.2500
Re 0.7500 0.7500 0.7500
Rh 0.0000 0.0000 0.0000
Br 0.5000 0.5000 0.5000
! Distance to the lowest polymorph of the same formula   642 meV/atom
! Total energy   -7.418 eV/atom
! Space group   Fm-3m
! Total magnetization   0.0 μB/cell
! Calculated volume   15.339 Å³ per atom

***

[7]
! ReRhBr3 (GGA-PBE, relaxed); values from VASP
&SYSTEM
  ibrav = 0, nat = 5, ntyp = 3
/
ATOMIC_SPECIES
Re 186.21 Re.upf
Rh 102.91 Rh.upf
Br 79.90 Br.upf
CELL_PARAMETERS angstrom
5.0920 0.0000 0.0000
0.0000 5.0920 0.0000
0.0000 0.0000 5.0920
ATOMIC_POSITIONS crystal
Re 0.0000 0.0000 0.0000
Rh 0.5000 0.5000 0.5000
Br 0.0000 0.5000 0.5000
Br 0.5000 0.0000 0.5000
Br 0.5000 0.5000 0.0000
! Distance to the lowest polymorph of the same formula   0 meV/atom
! Total energy   -3.889 eV/atom
! Space group   Pm-3m
! Total magnetization   5.6 μB/cell
! Calculated volume   26.406 Å³ per atom

***

[8]
! ReRhBr (GGA-PBE, relaxed); values from VASP
&SYSTEM
  ibrav = 0, nat = 3, ntyp = 3
/
ATOMIC_SPECIES
Re 186.21 Re.upf
Rh 102.91 Rh.upf
Br 79.90 Br.upf
CELL_PARAMETERS angstrom
-1.4773 1.4773 5.9945
1.4773 -1.4773 5.9945
1.4773 1.4773 -5.9945
ATOMIC_POSITIONS crystal
Re 0.0000 0.0000 0.0000
Rh 0.6312 0.6312 0.0000
Br 0.3451 0.3451 0.0000
! Distance to the lowest polymorph of the same formula   53 meV/atom
! Total energy   -6.527 eV/atom
! Space group   I4mm
! Total magnetization   0.0 μB/cell
! Calculated volume   17.445 Å³ per atom

***

[9]
! Re2RhBr (GGA-PBE, relaxed); values from VASP
&SYSTEM
  ibrav = 0, nat = 4, ntyp = 3
/
ATOMIC_SPECIES
Re 186.21 Re.upf
Rh 102.91 Rh.upf
Br 79.90 Br.upf
CELL_PARAMETERS angstrom
4.6224 0.0000 0.0000
0.0000 4.6224 0.0000
0.0000 0.0000 2.8847
ATOMIC_POSITIONS crystal
Re 0.0000 0.5000 0.0000
Re 0.5000 0.0000 0.0000
Rh 0.0000 0.0000 0.5000
Br 0.5000 0.5000 0.5000
! Distance to the lowest polymorph of the same formula   665 meV/atom
! Total energy   -7.394 eV/atom
! Space group   P4/mmm
! Total magnetization   0.0 μB/cell
! Calculated volume   15.409 Å³ per atom

***

[10]
! ReRh2Br2 (GGA-PBE, relaxed); values from VASP
&SYSTEM
  ibrav = 0, nat = 5, ntyp = 3
/
ATOMIC_SPECIES
Re 186.21 Re.upf
Rh 102.91 Rh.upf
Br 79.90 Br.upf
CELL_PARAMETERS angstrom
-1.6848 1.6848 9.0488
1.6848 -1.6848 9.0488
1.6848 1.6848 -9.0488
ATOMIC_POSITIONS crystal
Re 0.0000 0.0000 0.0000
Rh 0.2500 0.7500 0.5000
Rh 0.7500 0.2500 0.5000
Br 0.4144 0.4144 0.0000
Br 0.5856 0.5856 0.0000
! Distance to the lowest polymorph of the same formula   163 meV/atom
! Total energy   -4.752 eV/atom
! Space group   I4/mmm
! Total magnetization   0.0 μB/cell
! Calculated volume   20.549 Å³ per atom

***

[11]
! ReRhBr (GGA-PBE, relaxed); values from VASP
&SYSTEM
  ibrav = 0, nat = 3, ntyp = 3
/
ATOMIC_SPECIES
Re 186.21 Re.upf
Rh 102.91 Rh.upf
Br 79.90 Br.upf
CELL_PARAMETERS angstrom
0.0000 3.0223 3.0223
3.0223 0.0000 3.0223
3.0223 3.0223 0.0000
ATOMIC_POSITIONS crystal
Re 0.0000 0.0000 0.0000
Rh 0.2500 0.2500 0.2500
Br 0.7500 0.7500 0.7500
! Distance to the lowest polymorph of the same formula   357 meV/atom
! Total energy   -6.223 eV/atom
! Space group   F-43m
! Total magnetization   0.0 μB/cell
! Calculated volume   18.404 Å³ per atom

***

[12]
! ReRhBr (GGA-PBE, relaxed); values from VASP
&SYSTEM
  ibrav = 0, nat = 3, ntyp = 3
/
ATOMIC_SPECIES
Re 186.21 Re.upf
Rh 102.91 Rh.upf
Br 79.90 Br.upf
CELL_PARAMETERS angstrom
4.2258 0.0000 0.0000
-2.1129 3.6597 0.0000
0.0000 0.0000 3.1206
ATOMIC_POSITIONS crystal
Re 0.0000 0.0000 0.0000
Rh 0.6667 0.3333 0.4575
Br 0.3333 0.6667 0.8415
! Distance to the lowest polymorph of the same formula   428 meV/atom
! Total energy   -6.152 eV/atom
! Space group   P3m1
! Total magnetization   0.0 μB/cell
! Calculated volume   16.087 Å³ per atom